(1)
## Sr2CaH (PBE)

Data for crystalline Sr2CaH at its relaxed geometry.

Calculated values
- Symmetry: No. 123
- Relative energy among the computed polymorphs: 208.8 meV/atom

Lattice parameters (Å, degrees): 3.718 3.718 9.917 90.00 90.00 90.00
Element x y z (fractional)
1 H 0.500 0.500 0.000
2 Sr 0.000 0.000 0.189
3 Sr 0.000 0.000 0.811
4 Ca 0.500 0.500 0.500


(2)
## Sr2CaH (PBE)

Data for crystalline Sr2CaH at its relaxed geometry.

Calculated values
- Symmetry: No. 166
- Relative energy among the computed polymorphs: 16.1 meV/atom

Lattice parameters (Å, degrees): 4.027 4.027 10.106 78.51 78.51 60.00
Element x y z (fractional)
1 Ca 0.500 0.500 0.500
2 H 0.000 0.000 0.000
3 Sr 0.721 0.721 0.838
4 Sr 0.279 0.279 0.162


(3)
## Sr2Ca2H7 (PBE)

Data for crystalline Sr2Ca2H7 at its relaxed geometry.

Calculated values
- Symmetry: No. 65
- Total energy: -3.28 eV per atom

Lattice parameters (Å, degrees): 5.652 5.573 5.652 90.00 92.81 90.00
Element x y z (fractional)
1 Sr 0.255 0.500 0.255
2 Sr 0.745 0.500 0.745
3 H 0.500 0.758 0.000
4 H 0.500 0.239 0.500
5 H 0.000 0.758 0.500
6 H 0.000 0.000 0.000
7 H 0.500 0.761 0.500
8 H 0.000 0.242 0.500
9 H 0.500 0.242 0.000
10 Ca 0.271 0.000 0.729
11 Ca 0.729 0.000 0.271


(4)
## SrCa2H6 (PBE)

Data for crystalline SrCa2H6 at its relaxed geometry.

Calculated values
- Symmetry: No. 225
- Relative energy among the computed polymorphs: 565.6 meV/atom

Lattice parameters (Å, degrees): 5.732 5.732 5.732 60.00 60.00 60.00
Element x y z (fractional)
1 H 0.722 0.278 0.722
2 H 0.722 0.278 0.278
3 H 0.278 0.722 0.278
4 H 0.278 0.278 0.722
5 H 0.722 0.722 0.278
6 H 0.278 0.722 0.722
7 Ca 0.250 0.250 0.250
8 Ca 0.750 0.750 0.750
9 Sr 0.000 0.000 0.000


(5)
## SrCaH (PBE)

Data for crystalline SrCaH at its relaxed geometry.

Calculated values
- Symmetry: No. 156
- Relative energy among the computed polymorphs: 0.0 meV/atom

Lattice parameters (Å, degrees): 3.920 3.920 6.375 90.00 90.00 120.00
Element x y z (fractional)
1 Sr 0.000 0.000 0.093
2 H 0.667 0.333 0.339
3 Ca 0.333 0.667 0.568


(6)
## SrCa2H6 (PBE)

Data for crystalline SrCa2H6 at its relaxed geometry.

Calculated values
- Symmetry: No. 71
- Relative energy among the computed polymorphs: 0.0 meV/atom

Lattice parameters (Å, degrees): 3.928 5.559 6.783 114.19 106.83 90.00
Element x y z (fractional)
1 H 0.172 0.430 0.345
2 H 0.500 0.735 0.000
3 H 0.500 0.265 0.000
4 H 0.828 0.086 0.655
5 H 0.172 0.914 0.345
6 H 0.828 0.570 0.655
7 Ca 0.331 0.332 0.663
8 Ca 0.669 0.668 0.337
9 Sr 0.000 0.000 0.000


(7)
## Sr2CaH (PBE)

Data for crystalline Sr2CaH at its relaxed geometry.

Calculated values
- Symmetry: No. 122
- Relative energy among the computed polymorphs: 0.0 meV/atom

Lattice parameters (Å, degrees): 7.747 7.747 7.504 58.92 58.92 90.00
Element x y z (fractional)
1 Sr 0.375 0.548 0.750
2 Sr 0.452 0.125 0.250
3 Sr 0.298 0.625 0.250
4 Sr 0.875 0.702 0.750
5 Ca 0.750 0.250 0.500
6 Ca 0.000 0.000 0.000
7 H 0.250 0.750 0.500
8 H 0.500 0.500 0.000


(8)
## Sr2CaH (PBE)

Data for crystalline Sr2CaH at its relaxed geometry.

Calculated values
- Symmetry: No. 8
- Relative energy among the computed polymorphs: 22.4 meV/atom

Lattice parameters (Å, degrees): 4.034 4.034 10.128 78.71 78.71 60.01
Element x y z (fractional)
1 H 0.666 0.666 0.001
2 Sr 0.280 0.280 0.161
3 Sr 0.053 0.053 0.838
4 Ca 0.500 0.500 0.500


Here are the calculated total moment numbers, same order: 0.00; 0.21; 0.89; 0.00; 0.46; 0.00; 0.00; 0.17 (μB per cell).